DFT (PBE) results for PrAl11Cu after structural relaxation.

Structure (POSCAR):
```
PrAl11Cu
1.0
-2.770 3.871 -2.294
-7.031 -1.109 1.281
-0.963 5.371 4.142
Al Cu Pr
11 1 1
Direct
0.502 0.230 0.782
0.000 0.000 0.500
0.005 0.356 0.647
0.995 0.644 0.353
0.500 0.000 0.500
0.498 0.770 0.218
0.716 0.770 0.782
0.284 0.230 0.218
0.000 0.500 0.000
0.651 0.356 0.353
0.349 0.644 0.647
0.500 0.500 0.000
0.000 0.000 0.000
```

Calculated values
* crystal system: monoclinic
* space-group type: C2/m
* mass density: 3.6 g/cm³
* VASP energy: -3.98 eV per atom